GGA-PBEsol Ni2RhSe, relaxed; space-group type = Cmmm (65); energy above the most stable polymorph in this dataset = 0.017 eV per atom
1.0
3.0440 0.0223 0.0313
-0.0315 4.1693 0.0736
-0.0315 -1.2848 3.9670
Rh Ni Se
1 2 1
direct
0.5000 0.5000 0.5000
0.0000 0.0000 0.5000
0.0000 0.5000 0.0000
0.5000 0.0000 0.0000

GGA-PBEsol NiRhSe2, relaxed; space-group type = R-3m (166)
1.0
-2.2980 1.2609 2.4236
-3.4836 0.1696 -0.7620
-2.8096 -6.0800 3.1284
Se Ni Rh
2 1 1
direct
0.8961 0.8961 0.3117
0.1039 0.1039 0.6883
0.0000 0.0000 0.0000
0.5000 0.5000 0.5000

GGA-PBEsol Ni2RhSe, relaxed; space-group type = I-4m2 (119); energy above the most stable polymorph in this dataset = 0.000 eV per atom
1.0
3.6803 0.0000 0.0000
0.0000 3.6803 0.0000
-1.8402 -1.8402 3.6812
Se Rh Ni
1 1 2
direct
0.2500 0.7500 0.5000
0.5000 0.5000 0.0000
0.0000 0.0000 0.0000
0.7500 0.2500 0.5000

GGA-PBEsol Ni2RhSe, relaxed; space-group type = R3m (160); energy above the most stable polymorph in this dataset = 0.129 eV per atom
1.0
-2.5612 -0.9135 -0.7330
-1.4649 -1.6443 1.7555
-4.4360 5.2846 3.5061
Ni Se Rh
2 1 1
direct
0.9985 0.9985 0.0043
0.7464 0.7464 0.7609
0.2551 0.2551 0.2346
0.5000 0.5000 0.5002

GGA-PBEsol NiRh2Se, relaxed; space-group type = Pmmm (47); energy above the most stable polymorph in this dataset = 0.000 eV per atom
1.0
3.1040 0.0000 0.0000
0.0000 3.1163 0.0000
0.0000 0.0000 5.5300
Se Rh Ni
1 2 1
direct
0.5000 0.5000 0.0000
0.0000 0.0000 0.2615
0.0000 0.0000 0.7385
0.5000 0.5000 0.5000

GGA-PBEsol ZrNiRh2Se, relaxed; space-group type = P4/mmm (123)
1.0
-0.0266 1.5766 4.1470
-4.1785 -1.4028 0.5065
1.6389 -4.2891 1.6411
Se Zr Rh Ni
1 1 2 1
direct
0.0000 0.0000 0.0000
0.0000 0.0000 0.5000
0.0000 0.5000 0.0000
0.5000 0.0000 0.0000
0.5000 0.5000 0.5000

It is found that the density of states at the Fermi level values, taken in the order of the records, are 4.33, 4.40, 5.22, 6.20, 4.78, 5.96 states/eV per cell.
It is found that the M_tot values, taken in the order of the records, are 0.0041, 0.1657, 0.0015, 0.1877, 0.0039, 0.0003 μB/atom.
It is found that the uncorrected formation energy values, taken in the order of the records, are 98.4, -13.5, 81.0, 209.6, 62.9, 576.3 meV per atom.